This record from OQMD describes a geometry-optimized PaNO structure. The functional is PBE.

Calculated values
- DFT total energy (eV per cell) = -115.280
- spin magnetization (μB per atom) = 0.000

a b c (Å): 7.6660 3.8473 5.4510
angles (deg): 90.00 90.00 90.00
Fractional coordinates of all 12 atoms:
N: 0.3692 0.2500 0.0123
N: 0.8692 0.2500 0.4877
N: 0.1308 0.7500 0.5123
N: 0.6308 0.7500 0.9877
O: 0.1170 0.7500 0.0118
O: 0.6170 0.7500 0.4882
O: 0.3830 0.2500 0.5118
O: 0.8830 0.2500 0.9882
Pa: 0.6257 0.2500 0.2358
Pa: 0.1257 0.2500 0.2642
Pa: 0.8743 0.7500 0.7358
Pa: 0.3743 0.7500 0.7642